GdCoSO (PBE with a Hubbard U, optimized geometry); crystal system = orthorhombic; relative energy among the computed polymorphs = 0 meV/atom; E_tot = -6.43 eV per atom; ρ = 6.7 g/cm³
1.0
6.9843 0.0000 0.0000
0.0000 10.8903 0.0000
0.0000 0.0000 6.8691
Co Gd O S
8 8 8 8
Direct
0.6839 0.0340 0.0461 Co
0.8161 0.5340 0.0461 Co
0.1839 0.0340 0.4539 Co
0.3161 0.5340 0.4539 Co
0.6839 0.4660 0.5461 Co
0.8161 0.9660 0.5461 Co
0.1839 0.4660 0.9539 Co
0.3161 0.9660 0.9539 Co
0.0764 0.1947 0.1144 Gd
0.4236 0.6947 0.1144 Gd
0.5764 0.1947 0.3856 Gd
0.9236 0.6947 0.3856 Gd
0.0764 0.3053 0.6144 Gd
0.4236 0.8053 0.6144 Gd
0.5764 0.3053 0.8856 Gd
0.9236 0.8053 0.8856 Gd
0.7575 0.2158 0.1145 O
0.7425 0.7158 0.1145 O
0.2575 0.2158 0.3855 O
0.2425 0.7158 0.3855 O
0.7575 0.2842 0.6145 O
0.7425 0.7842 0.6145 O
0.2575 0.2842 0.8855 O
0.2425 0.7842 0.8855 O
0.5509 0.4529 0.2363 S
0.9491 0.9529 0.2363 S
0.0509 0.4529 0.2637 S
0.4491 0.9529 0.2637 S
0.5509 0.0471 0.7363 S
0.9491 0.5471 0.7363 S
0.0509 0.0471 0.7637 S
0.4491 0.5471 0.7637 S